--- i ---
## AlC3Br (PBE-GGA)

Data for a geometry-optimized AlC3Br structure.

Cell and atoms, written as POSCAR:
```
AlC3Br
1.0
4.074 0.000 0.000
0.000 4.074 0.000
0.000 0.000 4.074
C Al Br
3 1 1
direct
0.000 0.500 0.000
0.000 0.000 0.500
0.500 0.000 0.000
0.000 0.000 0.000
0.500 0.500 0.500
```

Summary:
**DOS(E_F)**: 0.67 states/eV/atom



--- ii ---
## AlC3Br (PBE-GGA)

Data for a geometry-optimized AlC3Br structure.

Cell and atoms, written as POSCAR:
```
AlC3Br
1.0
3.925 0.000 0.000
0.000 3.925 0.000
0.000 0.000 3.925
C Al Br
3 1 1
direct
0.000 0.500 0.000
0.000 0.000 0.500
0.500 0.000 0.000
0.500 0.500 0.500
0.000 0.000 0.000
```

Summary:
**DOS(E_F)**: 0.70 states/eV/atom



Stability verdict: i, ahead by 760 meV per atom



--- i ---
## Ca2AlBr (PBE-GGA)

Data for a geometry-optimized Ca2AlBr structure.

Cell and atoms, written as POSCAR:
```
Ca2AlBr
1.0
-0.548 4.046 -1.580
-3.906 -1.153 -1.598
-2.743 1.753 5.440
Ca Al Br
2 1 1
direct
0.000 0.000 0.876
0.500 0.500 0.374
0.000 0.000 0.376
0.500 0.500 0.875
```

Summary:
**DOS(E_F)**: 0.32 states/eV/atom



--- ii ---
## Ca2AlBr (PBE-GGA)

Data for a geometry-optimized Ca2AlBr structure.

Cell and atoms, written as POSCAR:
```
Ca2AlBr
1.0
6.317 -0.015 0.021
5.253 3.508 0.021
-0.020 -0.006 5.240
Ca Al Br
2 1 1
direct
0.006 0.006 0.125
0.753 0.753 0.625
0.489 0.489 0.625
0.252 0.252 0.126
```

Summary:
**DOS(E_F)**: 0.88 states/eV/atom



--- iii ---
## Ca2AlBr (PBE-GGA)

Data for a geometry-optimized Ca2AlBr structure.

Cell and atoms, written as POSCAR:
```
Ca2AlBr
1.0
4.041 -0.015 0.004
2.036 3.491 0.004
2.021 1.156 8.358
Ca Al Br
2 1 1
direct
0.002 0.002 0.993
0.498 0.498 0.507
0.750 0.750 0.750
0.250 0.250 0.250
```

Summary:
**DOS(E_F)**: 0.27 states/eV/atom



Stability verdict: iii, ahead by 79 meV per atom



--- i ---
## CaAl2Br (PBE-GGA)

Data for a geometry-optimized CaAl2Br structure.

Cell and atoms, written as POSCAR:
```
CaAl2Br
1.0
-5.498 -2.110 0.759
-0.433 -5.412 -2.405
2.662 3.265 4.185
Ca Al Br
1 2 1
direct
0.257 0.757 0.500
0.981 0.981 0.000
0.762 0.262 0.500
0.500 0.500 0.000
```

Summary:
**DOS(E_F)**: 0.59 states/eV/atom



--- ii ---
## CaAl2Br (PBE-GGA)

Data for a geometry-optimized CaAl2Br structure.

Cell and atoms, written as POSCAR:
```
CaAl2Br
1.0
0.000 3.778 3.778
3.778 0.000 3.778
3.778 3.778 0.000
Ca Al Br
1 2 1
direct
0.000 0.000 0.000
0.250 0.250 0.250
0.750 0.750 0.750
0.500 0.500 0.500
```

Summary:
**DOS(E_F)**: 0.79 states/eV/atom



Stability verdict: i, ahead by 419 meV per atom



--- i ---
## CaAl2Br (PBE-GGA)

Data for a geometry-optimized CaAl2Br structure.

Cell and atoms, written as POSCAR:
```
CaAl2Br
1.0
3.453 0.000 0.000
0.000 3.453 0.000
0.000 0.000 8.182
Ca Al Br
1 2 1
direct
0.500 0.500 0.750
0.000 0.000 0.009
0.000 0.000 0.491
0.500 0.500 0.250
```

Summary:
**DOS(E_F)**: 0.73 states/eV/atom



--- ii ---
## CaAl2Br (PBE-GGA)

Data for a geometry-optimized CaAl2Br structure.

Cell and atoms, written as POSCAR:
```
CaAl2Br
1.0
5.802 -0.008 0.000
-2.968 4.985 0.000
0.000 0.000 3.518
Ca Al Br
1 2 1
direct
0.000 0.500 0.500
0.000 0.000 0.000
0.500 0.500 0.000
0.500 0.000 0.500
```

Summary:
**DOS(E_F)**: 0.72 states/eV/atom



--- iii ---
## CaAl2Br (PBE-GGA)

Data for a geometry-optimized CaAl2Br structure.

Cell and atoms, written as POSCAR:
```
CaAl2Br
1.0
8.787 0.000 0.000
0.000 8.787 0.000
4.393 4.393 2.843
Ca Al Br
2 4 2
direct
0.500 0.500 0.000
0.250 0.750 0.500
0.638 0.125 0.250
0.112 0.625 0.250
0.375 0.362 0.750
0.875 0.888 0.750
0.000 0.000 0.000
0.750 0.250 0.500
```

Summary:
**DOS(E_F)**: 0.67 states/eV/atom



--- iv ---
## CaAl2Br (PBE-GGA)

Data for a geometry-optimized CaAl2Br structure.

Cell and atoms, written as POSCAR:
```
CaAl2Br
1.0
-3.892 -5.118 -1.640
-0.590 -6.216 -2.244
0.179 -1.738 4.139
Ca Al Br
1 2 1
direct
0.250 0.250 0.250
0.992 0.992 0.016
0.508 0.508 0.484
0.750 0.750 0.750
```

Summary:
**DOS(E_F)**: 0.50 states/eV/atom



Stability verdict: iv, ahead by 264 meV per atom



--- i ---
## CaAl2Br (PBE-GGA)

Data for a geometry-optimized CaAl2Br structure.

Cell and atoms, written as POSCAR:
```
CaAl2Br
1.0
-0.761 -3.159 -1.920
3.322 -0.032 -1.264
5.817 -4.715 5.453
Ca Al Br
1 2 1
direct
0.500 0.743 0.757
0.000 0.968 0.032
0.500 0.370 0.130
0.000 0.419 0.581
```

Summary:
**DOS(E_F)**: 0.28 states/eV/atom



--- ii ---
## CaAl2Br (PBE-GGA)

Data for a geometry-optimized CaAl2Br structure.

Cell and atoms, written as POSCAR:
```
CaAl2Br
1.0
5.057 0.000 0.000
0.000 5.057 0.000
0.000 0.000 3.927
Ca Al Br
1 2 1
direct
0.000 0.500 0.500
0.000 0.000 0.000
0.500 0.500 0.000
0.500 0.000 0.500
```

Summary:
**DOS(E_F)**: 0.54 states/eV/atom



Stability verdict: i, ahead by 423 meV per atom



--- i ---
## CaAl2Br (PBE-GGA)

Data for a geometry-optimized CaAl2Br structure.

Cell and atoms, written as POSCAR:
```
CaAl2Br
1.0
-6.639 3.314 -6.054
-7.841 0.058 -5.499
-8.622 2.630 -3.234
Ca Al Br
1 2 1
direct
0.750 0.750 0.750
0.994 0.994 0.994
0.506 0.506 0.506
0.250 0.250 0.250
```

Summary:
**DOS(E_F)**: 0.70 states/eV/atom



--- ii ---
## CaAl2Br (PBE-GGA)

Data for a geometry-optimized CaAl2Br structure.

Cell and atoms, written as POSCAR:
```
CaAl2Br
1.0
-2.912 -2.493 -5.675
-5.052 -4.556 -0.788
2.248 5.776 2.912
Ca Al Br
1 2 1
direct
0.250 0.750 0.500
0.004 0.004 0.000
0.496 0.496 0.000
0.750 0.250 0.500
```

Summary:
**DOS(E_F)**: 0.62 states/eV/atom



Stability verdict: ii, ahead by 366 meV per atom



--- i ---
## CaAl2Br (PBE-GGA)

Data for a geometry-optimized CaAl2Br structure.

Cell and atoms, written as POSCAR:
```
CaAl2Br
1.0
-0.410 -0.666 -3.302
-2.640 -1.187 1.771
-4.374 8.101 -1.089
Ca Al Br
1 2 1
direct
0.500 0.500 0.750
0.000 0.000 0.013
0.000 0.000 0.487
0.500 0.500 0.250
```

Summary:
**DOS(E_F)**: 0.48 states/eV/atom



--- ii ---
## CaAl2Br (PBE-GGA)

Data for a geometry-optimized CaAl2Br structure.

Cell and atoms, written as POSCAR:
```
CaAl2Br
1.0
-1.705 3.017 0.810
-3.440 -2.340 1.474
2.614 -0.112 5.922
Ca Al Br
1 2 1
direct
0.000 0.500 0.500
0.000 0.000 0.000
0.500 0.500 0.000
0.500 0.000 0.500
```

Summary:
**DOS(E_F)**: 0.48 states/eV/atom



--- iii ---
## CaAl2Br (PBE-GGA)

Data for a geometry-optimized CaAl2Br structure.

Cell and atoms, written as POSCAR:
```
CaAl2Br
1.0
-0.608 2.672 3.490
1.724 -1.071 3.946
7.008 4.409 0.348
Ca Al Br
1 2 1
direct
0.265 0.265 0.214
0.013 0.013 0.941
0.680 0.680 0.938
0.542 0.542 0.407
```

Summary:
**DOS(E_F)**: 0.46 states/eV/atom



Stability verdict: iii, ahead by 112 meV per atom



--- i ---
## AlCd2Br (PBE-GGA)

Data for a geometry-optimized AlCd2Br structure.

Cell and atoms, written as POSCAR:
```
AlCd2Br
1.0
6.924 0.000 0.000
0.000 6.924 0.000
3.462 3.462 5.735
Al Br Cd
2 2 4
direct
0.500 0.500 0.000
0.250 0.750 0.500
0.000 0.000 0.000
0.750 0.250 0.500
0.595 0.125 0.250
0.155 0.625 0.250
0.375 0.405 0.750
0.875 0.845 0.750
```

Summary:
**DOS(E_F)**: 0.03 states/eV/atom



--- ii ---
## AlCd2Br (PBE-GGA)

Data for a geometry-optimized AlCd2Br structure.

Cell and atoms, written as POSCAR:
```
AlCd2Br
1.0
6.513 0.001 -0.016
-3.772 5.310 -0.016
0.942 1.826 2.919
Al Br Cd
1 1 2
direct
0.500 0.000 0.500
0.000 0.500 0.500
0.000 0.000 0.000
0.500 0.500 0.000
```

Summary:
**DOS(E_F)**: 0.09 states/eV/atom



Stability verdict: ii, ahead by 32 meV per atom



--- i ---
## AlCd2Br (PBE-GGA)

Data for a geometry-optimized AlCd2Br structure.

Cell and atoms, written as POSCAR:
```
AlCd2Br
1.0
10.292 0.353 0.209
9.613 3.694 0.209
9.613 1.954 3.142
Al Br Cd
1 1 2
direct
0.502 0.502 0.502
0.775 0.775 0.775
0.986 0.986 0.986
0.237 0.237 0.237
```

Summary:
**DOS(E_F)**: 0.41 states/eV/atom



--- ii ---
## AlCd2Br (PBE-GGA)

Data for a geometry-optimized AlCd2Br structure.

Cell and atoms, written as POSCAR:
```
AlCd2Br
1.0
-1.723 2.186 -2.177
-2.529 -1.430 2.011
0.855 5.972 5.321
Al Br Cd
1 1 2
direct
0.500 0.500 0.250
0.500 0.500 0.750
0.000 0.000 0.021
0.000 0.000 0.479
```

Summary:
**DOS(E_F)**: 0.32 states/eV/atom



--- iii ---
## AlCd2Br (PBE-GGA)

Data for a geometry-optimized AlCd2Br structure.

Cell and atoms, written as POSCAR:
```
AlCd2Br
1.0
8.303 0.002 0.001
7.444 3.677 0.001
7.444 1.739 3.240
Al Br Cd
1 1 2
direct
0.250 0.250 0.250
0.750 0.750 0.750
0.993 0.993 0.993
0.507 0.507 0.507
```

Summary:
**DOS(E_F)**: 0.26 states/eV/atom



Stability verdict: iii, ahead by 5 meV per atom



--- i ---
## AlCd2Br (PBE-GGA)

Data for a geometry-optimized AlCd2Br structure.

Cell and atoms, written as POSCAR:
```
AlCd2Br
1.0
-3.146 -1.432 4.754
-2.441 -0.121 -5.346
0.963 -3.325 -0.365
Al Br Cd
1 1 2
direct
0.500 0.000 0.500
0.000 0.500 0.500
0.000 0.000 0.000
0.500 0.500 0.000
```

Summary:
**DOS(E_F)**: 0.25 states/eV/atom



--- ii ---
## AlCd2Br (PBE-GGA)

Data for a geometry-optimized AlCd2Br structure.

Cell and atoms, written as POSCAR:
```
AlCd2Br
1.0
0.000 3.758 3.758
3.758 0.000 3.758
3.758 3.758 0.000
Al Br Cd
1 1 2
direct
0.000 0.000 0.000
0.500 0.500 0.500
0.250 0.250 0.250
0.750 0.750 0.750
```

Summary:
**DOS(E_F)**: 0.16 states/eV/atom



--- iii ---
## AlCd2Br (PBE-GGA)

Data for a geometry-optimized AlCd2Br structure.

Cell and atoms, written as POSCAR:
```
AlCd2Br
1.0
-3.305 2.718 -3.158
-1.913 -2.257 -4.419
-5.133 -1.365 -0.281
Al Br Cd
1 1 2
direct
0.500 0.500 0.500
0.750 0.750 0.750
0.000 0.000 0.000
0.250 0.250 0.250
```

Summary:
**DOS(E_F)**: 0.28 states/eV/atom



Stability verdict: i, ahead by 77 meV per atom



--- i ---
## AlCd2Br (PBE-GGA)

Data for a geometry-optimized AlCd2Br structure.

Cell and atoms, written as POSCAR:
```
AlCd2Br
1.0
3.295 0.000 0.000
0.000 5.172 0.000
0.000 0.000 5.808
Al Br Cd
1 1 2
direct
0.500 0.000 0.500
0.000 0.500 0.500
0.000 0.000 0.000
0.500 0.500 0.000
```

Summary:
**DOS(E_F)**: 0.32 states/eV/atom



--- ii ---
## AlCd2Br (PBE-GGA)

Data for a geometry-optimized AlCd2Br structure.

Cell and atoms, written as POSCAR:
```
AlCd2Br
1.0
6.259 0.012 0.030
2.721 5.636 -0.030
-3.588 -4.258 2.858
Al Br Cd
1 1 2
direct
0.506 0.506 0.000
0.705 0.205 0.500
0.014 0.014 0.000
0.275 0.775 0.500
```

Summary:
**DOS(E_F)**: 0.42 states/eV/atom



Stability verdict: ii, ahead by 26 meV per atom



--- i ---
## Al3CdBr (PBE-GGA)

Data for a geometry-optimized Al3CdBr structure.

Cell and atoms, written as POSCAR:
```
Al3CdBr
1.0
5.409 0.000 0.000
0.000 5.409 0.000
0.000 0.000 5.409
Al Br Cd
3 1 1
direct
0.000 0.500 0.000
0.000 0.000 0.500
0.500 0.000 0.000
0.000 0.000 0.000
0.500 0.500 0.500
```

Summary:
**DOS(E_F)**: 0.53 states/eV/atom



--- ii ---
## Al3CdBr (PBE-GGA)

Data for a geometry-optimized Al3CdBr structure.

Cell and atoms, written as POSCAR:
```
Al3CdBr
1.0
-1.008 4.960 -1.305
-4.997 -0.651 1.386
1.153 1.515 4.868
Al Br Cd
3 1 1
direct
0.000 0.500 0.000
0.000 0.000 0.500
0.500 0.000 0.000
0.500 0.500 0.500
0.000 0.000 0.000
```

Summary:
**DOS(E_F)**: 0.51 states/eV/atom



Stability verdict: ii, ahead by 310 meV per atom